RbTcPtI2 | PBE | relaxed

The total magnetization is 4.7 μB/f.u. The calculation puts the distance to the lowest polymorph of the same formula at 0 meV/atom. Its theoretical density is 6.01 g cm⁻³.

The space group is P4/mmm (No. 123) and the conventional cell measures 5.8288, 5.8288 and 5.1408 Å, with angles of 90.00, 90.00 and 90.00 degrees. Symmetry generates all atoms from Rb at (0.0000, 0.0000, 0.0000), Tc at (0.5000, 0.5000, 0.0000), Pt at (0.5000, 0.5000, 0.5000) and I at (0.0000, 0.5000, 0.5000).